# 1
{"formula": "La12Ag6Pt", "functional": "PBE", "state": "relaxed", "lattice_angstrom": [[-7.416, 3.444, -2.233], [2.304, -1.472, -8.023], [-3.320, -7.735, 0.994]], "species": ["La", "La", "Ag", "La", "Pt", "Ag", "La", "Ag", "La", "La", "Ag", "La", "La", "La", "La", "Ag", "La", "La", "Ag"], "frac_coords": [[0.192, 0.435, 0.542], [0.093, 0.328, 0.971], [0.337, 0.142, 0.737], [0.565, 0.458, 0.808], [0.000, 0.000, 0.000], [0.737, 0.337, 0.142], [0.907, 0.672, 0.029], [0.858, 0.263, 0.663], [0.542, 0.192, 0.435], [0.971, 0.093, 0.328], [0.663, 0.858, 0.263], [0.458, 0.808, 0.565], [0.672, 0.029, 0.907], [0.328, 0.971, 0.093], [0.435, 0.542, 0.192], [0.263, 0.663, 0.858], [0.029, 0.907, 0.672], [0.808, 0.565, 0.458], [0.142, 0.737, 0.337]], "delta_e_f_mev_per_atom": -175, "space_group": "R-3 (148)"}

***

# 2
{"formula": "Nd2SmTm7", "functional": "PBE", "state": "relaxed", "lattice_angstrom": [[-2.126, -2.301, 5.263], [5.752, -3.649, -4.039], [5.112, 5.636, 2.159]], "species": ["Tm", "Tm", "Tm", "Sm", "Tm", "Nd", "Nd", "Tm", "Tm", "Tm"], "frac_coords": [[0.500, 0.899, 0.198], [0.500, 0.101, 0.802], [0.999, 0.400, 0.198], [0.000, 0.000, 0.000], [0.500, 0.500, 0.000], [0.500, 0.299, 0.399], [0.500, 0.701, 0.601], [0.001, 0.600, 0.802], [0.999, 0.800, 0.399], [0.001, 0.200, 0.601]], "delta_e_f_mev_per_atom": 23, "relative_energy_kj_per_mol_fu": 0, "space_group": "P-1 (2)"}

***

# 3
{"formula": "Sr3PmIn4", "functional": "PBE", "state": "relaxed", "lattice_angstrom": [[-2.772, -2.592, 1.232], [-0.246, -1.491, -3.693], [11.657, -10.770, 3.571]], "species": ["In", "In", "Sr", "In", "Pm", "In", "Sr", "Sr"], "frac_coords": [[0.000, 0.000, 0.372], [0.000, 0.000, 0.112], [0.500, 0.500, 0.244], [0.000, 0.000, 0.628], [0.500, 0.500, 0.000], [0.000, 0.000, 0.888], [0.500, 0.500, 0.500], [0.500, 0.500, 0.756]], "delta_e_f_mev_per_atom": -436, "space_group": "P4/mmm (123)"}

***

# 4
{"formula": "CaPmPu2P4", "functional": "PBE", "state": "relaxed", "lattice_angstrom": [[5.736, 0.312, 0.000], [-0.312, 5.736, 0.000], [-2.712, -3.024, 5.699]], "species": ["Pu", "P", "P", "Pm", "Ca", "Pu", "P", "P"], "frac_coords": [[0.187, 0.687, 0.500], [0.437, 0.937, 0.000], [0.937, 0.437, 0.000], [0.937, 0.937, 0.000], [0.437, 0.437, 0.000], [0.687, 0.187, 0.500], [0.185, 0.185, 0.495], [0.690, 0.690, 0.505]], "delta_e_f_mev_per_atom": -1178, "space_group": "I4/mmm (139)"}

***

# 5
{"formula": "CaYAu", "functional": "PBE", "state": "relaxed", "lattice_angstrom": [[5.020, 0.000, 0.000], [2.510, 4.347, 0.000], [2.510, 1.449, 4.099]], "species": ["Ca", "Au", "Y"], "frac_coords": [[0.000, 0.000, 0.000], [0.750, 0.750, 0.750], [0.500, 0.500, 0.500]], "delta_e_f_mev_per_atom": -454, "relative_energy_kj_per_mol_fu": 24, "space_group": "F-43m (216)"}

***

# 6
{"formula": "AgPBr", "functional": "PBE", "state": "relaxed", "lattice_angstrom": [[-2.779, -5.613, -0.479], [1.721, -5.201, -3.073], [1.607, 4.572, 3.996]], "species": ["Ag", "P", "Br"], "frac_coords": [[0.919, 0.919, 0.000], [0.441, 0.441, 0.000], [0.640, 0.640, 0.000]], "relative_energy_kj_per_mol_fu": 45, "space_group": "Imm2 (44)"}

***

The calculation returns the following volume values, one per record and in order: 31.872 31.320 32.377 23.506 29.813 25.759 Å³/atom.